Entry 1:
Pm5DyCd3: optimized geometry, GGA-PBE.

SG	No. 193
formation enthalpy at 0 K	-0.177	eV per atom
size of the total moment	0.0	μB/cell

Lattice parameters (Å, degrees): 7.0298 9.3940 9.3938 120.00 90.00 90.00
Last column: nearest neighbours and their distance in Å.
Fractional positions:
Pm (0.5000, 0.3333, 0.6666)  8 Pm 3.51-3.59, 6 Cd 3.61
Cd (0.2500, 0.6706, 0.6706)  3 Pm 3.12-3.16
Pm (0.7500, 0.6657, 0.6658)  3 Cd 3.12-3.16
Cd (0.2500, 0.3294, 0.0000)  3 Pm 3.12-3.16
Pm (0.0000, 0.6667, 0.3334)  8 Pm 3.51-3.59, 6 Cd 3.61
Pm (0.2500, 0.6657, 0.0000)  3 Cd 3.12-3.16
Pm (0.0000, 0.3333, 0.6666)  8 Pm 3.51-3.59, 6 Cd 3.61
Cd (0.7500, 0.3294, 0.3294)  3 Pm 3.12-3.16
Pm (0.5000, 0.6667, 0.3334)  8 Pm 3.51-3.59, 6 Cd 3.61
Dy (0.0000, 0.0000, 0.0000)  2 Dy 3.51, 6 Cd 3.56, 6 Pm 3.60
Cd (0.7500, 0.6706, 0.0000)  3 Pm 3.12-3.16
Pm (0.2500, 0.0000, 0.6658)  3 Cd 3.12-3.16
Cd (0.7500, 0.0000, 0.6706)  3 Pm 3.12-3.16
Pm (0.7500, 0.0000, 0.3342)  3 Cd 3.12-3.16
Dy (0.5000, 0.0000, 0.0000)  2 Dy 3.51, 6 Cd 3.56, 6 Pm 3.60
Cd (0.2500, 0.0000, 0.3294)  3 Pm 3.12-3.16
Pm (0.7500, 0.3343, 0.0000)  3 Cd 3.12-3.16
Pm (0.2500, 0.3343, 0.3342)  3 Cd 3.12-3.16

Entry 2:
Pm9Dy4Cd11: optimized geometry, GGA-PBE.

SG	No. 65
formation enthalpy at 0 K	-0.242	eV per atom
size of the total moment	0.5	μB/cell

Lattice parameters (Å, degrees): 3.5895 14.1315 14.1315 110.76 90.00 90.00
Last column: nearest neighbours and their distance in Å.
Fractional positions:
Pm (0.5000, 0.9665, 0.7923)  8 Cd 3.28-3.35, 1 Dy 3.57, 2 Pm 3.59
Pm (0.5000, 0.6249, 0.1496)  8 Cd 3.28-3.52, 1 Dy 3.50, 3 Pm 3.59-3.62
Cd (0.0000, 0.2427, 0.2427)  4 Dy 3.20, 4 Pm 3.34
Pm (0.5000, 0.1496, 0.6249)  8 Cd 3.28-3.52, 1 Dy 3.50, 3 Pm 3.59-3.62
Pm (0.5000, 0.2077, 0.0335)  8 Cd 3.28-3.35, 1 Dy 3.57, 2 Pm 3.59
Dy (0.5000, 0.5669, 0.7475)  6 Cd 3.20-3.25, 3 Pm 3.28-3.57
Pm (0.5000, 0.7923, 0.9665)  8 Cd 3.28-3.35, 1 Dy 3.57, 2 Pm 3.59
Dy (0.5000, 0.4331, 0.2525)  6 Cd 3.20-3.25, 3 Pm 3.28-3.57
Cd (0.0000, 0.0554, 0.4146)  2 Dy 3.25, 6 Pm 3.28-3.35, 3 Cd 3.31-3.59
Cd (0.0000, 0.6333, 0.3667)  4 Dy 3.25, 6 Pm 3.52-3.58, 2 Cd 3.59
Cd (0.0000, 0.1708, 0.8292)  8 Pm 3.28-3.32, 2 Cd 3.59
Pm (0.5000, 0.0335, 0.2077)  8 Cd 3.28-3.35, 1 Dy 3.57, 2 Pm 3.59
Pm (0.5000, 0.8504, 0.3751)  8 Cd 3.28-3.52, 1 Dy 3.50, 3 Pm 3.59-3.62
Pm (0.5000, 0.5000, 0.5000)  4 Dy 3.28, 4 Cd 3.58, 2 Pm 3.59
Dy (0.5000, 0.2525, 0.4331)  6 Cd 3.20-3.25, 3 Pm 3.28-3.57
Cd (0.0000, 0.7573, 0.7573)  4 Dy 3.20, 4 Pm 3.34
Cd (0.0000, 0.5854, 0.9446)  2 Dy 3.25, 6 Pm 3.28-3.35, 3 Cd 3.31-3.59
Cd (0.0000, 0.0000, 0.0000)  8 Pm 3.33, 2 Cd 3.59
Cd (0.0000, 0.4146, 0.0554)  2 Dy 3.25, 6 Pm 3.28-3.35, 3 Cd 3.31-3.59
Cd (0.0000, 0.3667, 0.6333)  4 Dy 3.25, 6 Pm 3.52-3.58, 2 Cd 3.59
Cd (0.0000, 0.8292, 0.1708)  8 Pm 3.28-3.32, 2 Cd 3.59
Cd (0.0000, 0.9446, 0.5854)  2 Dy 3.25, 6 Pm 3.28-3.35, 3 Cd 3.31-3.59
Pm (0.5000, 0.3751, 0.8504)  8 Cd 3.28-3.52, 1 Dy 3.50, 3 Pm 3.59-3.62
Dy (0.5000, 0.7475, 0.5669)  6 Cd 3.20-3.25, 3 Pm 3.28-3.57

Entry 3:
Pm12DyCd3: optimized geometry, GGA-PBE.

SG	No. 123
formation enthalpy at 0 K	-0.071	eV per atom
size of the total moment	0.0	μB/cell

Lattice parameters (Å, degrees): 4.9732 4.9732 20.1775 90.00 90.00 90.00
Last column: nearest neighbours and their distance in Å.
Fractional positions:
Pm (0.5000, 0.0000, 0.8697)  8 Pm 3.52-3.62, 2 Cd 3.56, 2 Dy 3.62
Pm (0.5000, 0.0000, 0.1303)  8 Pm 3.52-3.62, 2 Cd 3.56, 2 Dy 3.62
Pm (0.5000, 0.5000, 0.5000)  8 Pm 3.51, 4 Cd 3.52
Pm (0.0000, 0.5000, 0.6227)  4 Cd 3.48-3.51, 8 Pm 3.51-3.52
Cd (0.0000, 0.0000, 0.7434)  12 Pm 3.48-3.56
Pm (0.0000, 0.5000, 0.3773)  4 Cd 3.48-3.51, 8 Pm 3.51-3.52
Pm (0.5000, 0.5000, 0.7457)  8 Pm 3.51-3.53, 4 Cd 3.52
Pm (0.5000, 0.5000, 0.2543)  8 Pm 3.51-3.53, 4 Cd 3.52
Pm (0.0000, 0.5000, 0.8697)  8 Pm 3.52-3.62, 2 Cd 3.56, 2 Dy 3.62
Pm (0.5000, 0.5000, 0.0000)  4 Dy 3.52, 8 Pm 3.62
Pm (0.5000, 0.0000, 0.6227)  4 Cd 3.48-3.51, 8 Pm 3.51-3.52
Cd (0.0000, 0.0000, 0.2566)  12 Pm 3.48-3.56
Cd (0.0000, 0.0000, 0.5000)  12 Pm 3.51-3.52
Pm (0.0000, 0.5000, 0.1303)  8 Pm 3.52-3.62, 2 Cd 3.56, 2 Dy 3.62
Pm (0.5000, 0.0000, 0.3773)  4 Cd 3.48-3.51, 8 Pm 3.51-3.52
Dy (0.0000, 0.0000, 0.0000)  12 Pm 3.52-3.62

Entry 4:
Pm3Dy2Cd2: optimized geometry, GGA-PBE.

SG	No. 166
formation enthalpy at 0 K	-0.154	eV per atom
size of the total moment	0.0	μB/cell

Lattice parameters (Å, degrees): 5.4664 5.4646 8.6556 108.43 90.00 120.01
Last column: nearest neighbours and their distance in Å.
Fractional positions:
Dy (0.0736, 0.1473, 0.7213)  4 Cd 3.31-3.37, 3 Pm 3.53, 1 Dy 3.57
Cd (0.7892, 0.5783, 0.8678)  4 Pm 3.17-3.33, 4 Dy 3.31-3.37
Pm (0.6580, 0.3160, 0.4740)  1 Cd 3.17, 3 Pm 3.18, 3 Dy 3.53
Pm (0.5000, 0.0000, 0.0000)  6 Cd 3.33
Cd (0.2108, 0.4217, 0.1322)  4 Pm 3.17-3.33, 4 Dy 3.31-3.37
Dy (0.9264, 0.8527, 0.2787)  4 Cd 3.31-3.37, 3 Pm 3.53, 1 Dy 3.57
Pm (0.3420, 0.6840, 0.5260)  1 Cd 3.17, 3 Pm 3.18, 3 Dy 3.53